No. 1
A plane-wave DFT calculation with GGA-PBE was carried out for crystalline SrTaPb2 at its relaxed geometry.

a = 3.2924 Å, b = 4.7664 Å, c = 15.3917 Å
α = 90.00°, β = 90.00°, γ = 90.00°
Space group Imm2 (No. 44)
One atom of each set of equivalent atoms:
Sr1 0.0000 0.0000 0.0000 (multiplicity 2)
Ta1 0.0000 0.5000 0.2906 (multiplicity 2)
Pb1 0.0000 0.0000 0.6290 (multiplicity 2)
Pb2 0.0000 0.5000 0.8197 (multiplicity 2)

## Properties
As for the density of states at the Fermi level: 6.907 states/eV/cell. Its formation energy is 0.326 eV per atom. The volume comes out at 30.2 Å³ per atom. Its density is 9.39 Mg/m³.



No. 2
A plane-wave DFT calculation with GGA-PBE was carried out for crystalline Cu13Ni3 at its relaxed geometry.

a = 5.0361 Å, b = 8.3907 Å, c = 8.8478 Å
α = 90.00°, β = 90.00°, γ = 90.00°
Space group Amm2 (No. 38)
One atom of each set of equivalent atoms:
Cu1 0.0000 0.0000 0.0000 (multiplicity 2)
Cu2 0.0000 0.0000 0.4945 (multiplicity 2)
Cu3 0.0000 0.2478 0.1634 (multiplicity 4)
Cu4 0.2508 0.0000 0.7484 (multiplicity 4)
Cu5 0.2514 0.2505 0.4117 (multiplicity 8)
Cu6 0.5000 0.0000 0.4952 (multiplicity 2)
Cu7 0.5000 0.2463 0.1620 (multiplicity 4)
Ni1 0.2508 0.0000 0.2464 (multiplicity 4)
Ni2 0.5000 0.0000 0.0005 (multiplicity 2)

## Properties
As for the density of states at the Fermi level: 16.668 states/eV/cell. Its formation energy is 0.014 eV per atom. The volume comes out at 11.7 Å³ per atom. Its density is 8.90 Mg/m³.